Crystalline KMnF4 at its relaxed geometry, computed with GGA+U.

As for the space group: Pmmn. The total energy comes out at -5.1957 eV per atom.

abc: 3.8719 6.7805 7.7927
angles: 90.00 90.00 90.00
Last column: nearest neighbours and their distance in Å.
Fractional coordinates of all 12 atoms:
1 K 0.8954 0.9344 0.0000  8 F 2.67-2.90
2 K 0.3954 0.0656 0.5000  8 F 2.67-2.90
3 Mn 0.3955 0.3839 0.0000  5 F 1.83-1.94
4 Mn 0.8955 0.6161 0.5000  5 F 1.83-1.94
5 F 0.3952 0.6545 0.0000  1 Mn 1.83
6 F 0.8954 0.3928 0.0000  2 Mn 1.94
7 F 0.3952 0.1824 0.8270  1 Mn 1.92
8 F 0.8952 0.8176 0.6730  1 Mn 1.92
9 F 0.3954 0.6072 0.5000  2 Mn 1.94
10 F 0.8952 0.3455 0.5000  1 Mn 1.83
11 F 0.8952 0.8176 0.3270  1 Mn 1.92
12 F 0.3952 0.1824 0.1730  1 Mn 1.92